NdNbFeP2 | PBE-GGA | optimized geometry

Cell and atoms, written as extended XYZ:
```
5
Lattice="-0.3201 2.0146 -3.2936 -0.8361 -3.2627 -1.9144 -5.2728 1.4818 3.6973" Properties=species:S:1:pos:R:3 pbc="T T T"
Nd 0.0000 0.0000 0.0000
Nb -3.3435 -1.2024 -0.4106
Fe -3.0855 1.4362 -1.1002
P -2.0459 -0.4088 -2.3298
P -4.3831 0.6426 0.8190
```

Output
energy relative to the elements: -823 meV/atom
space-group type: I-4m2, No. 119
total magnetization: 2.27 μB/f.u.



NbFe2Ni | PBE-GGA | optimized geometry

Cell and atoms, written as extended XYZ:
```
4
Lattice="0.0000 2.9483 2.9483 2.9483 0.0000 2.9483 2.9483 2.9483 0.0000" Properties=species:S:1:pos:R:3 pbc="T T T"
Ni 0.0000 0.0000 0.0000
Nb 2.9483 2.9483 2.9483
Fe 1.4741 1.4741 1.4741
Fe 4.4224 4.4224 4.4224
```

Output
energy relative to the elements: 52 meV/atom
space-group type: Fm-3m, No. 225
total magnetization: 3.15 μB/f.u.



Nb3Fe8Ni | PBE-GGA | optimized geometry

Cell and atoms, written as extended XYZ:
```
12
Lattice="4.7715 0.0000 0.0000 2.3857 4.1322 0.0000 2.3857 1.3774 7.7789" Properties=species:S:1:pos:R:3 pbc="T T T"
Nb 4.7715 2.7548 6.7665
Nb 7.1572 4.1322 0.1485
Nb 4.7715 2.7548 3.7912
Fe 5.9706 2.0625 1.4653
Fe 5.9674 4.8191 5.3291
Fe 3.5723 2.0625 1.4653
Fe 8.3469 4.8191 5.3291
Fe 2.3857 1.3774 3.3987
Fe 7.1572 4.1322 7.2833
Fe 4.7715 4.1395 1.4653
Fe 7.1572 2.7584 5.3291
Ni 7.1572 4.1322 2.9572
```

Output
energy relative to the elements: -109 meV/atom
space-group type: R3m, No. 160
total magnetization: 11.70 μB/f.u.



NbFeNi | PBE-GGA | optimized geometry

Cell and atoms, written as extended XYZ:
```
3
Lattice="-1.7458 -0.6223 -1.8497 3.0482 0.2195 -2.9508 -0.7825 -3.6783 1.9760" Properties=species:S:1:pos:R:3 pbc="T T T"
Ni 1.4807 -1.1833 -1.6164
Nb -0.6693 -2.7938 -0.8993
Fe -0.2914 -0.1039 -0.3088
```

Output
energy relative to the elements: 32 meV/atom
space-group type: P-6m2, No. 187
total magnetization: 2.43 μB/f.u.



NbFeNi6 | PBE-GGA | optimized geometry

Cell and atoms, written as extended XYZ:
```
32
Lattice="6.2688 0.0038 0.0000 -2.0997 5.9067 0.0000 0.0000 0.0000 10.2293" Properties=species:S:1:pos:R:3 pbc="T T T"
Nb 4.2138 1.4534 5.1147
Nb -0.0446 4.4571 5.1147
Nb 0.0000 0.0000 7.7229
Nb 0.0000 0.0000 2.5064
Fe 4.2101 1.4559 0.0000
Fe -0.0410 4.4546 0.0000
Fe 2.0846 2.9553 7.7363
Fe 2.0846 2.9553 2.4930
Ni 4.1586 1.4923 7.7070
Ni 0.0022 2.2452 8.9748
Ni 4.1669 3.6654 8.9748
Ni 0.0106 4.4182 7.7070
Ni 2.0549 5.1551 8.9748
Ni 2.1143 0.7554 8.9748
Ni 2.0846 2.9553 5.1147
Ni 4.1435 3.6787 6.4156
Ni 2.0753 5.1376 6.4156
Ni 4.1586 1.4923 2.5223
Ni 0.0256 2.2318 3.8137
Ni 4.1435 3.6787 3.8137
Ni 0.0106 4.4182 2.5223
Ni 2.0753 5.1376 3.8137
Ni 2.0939 0.7729 3.8137
Ni 2.0846 2.9553 0.0000
Ni 4.1669 3.6654 1.2546
Ni 2.0549 5.1551 1.2546
Ni 0.0000 0.0000 5.1147
Ni 2.0939 0.7729 6.4156
Ni 0.0256 2.2318 6.4156
Ni 0.0000 0.0000 0.0000
Ni 2.1143 0.7554 1.2546
Ni 0.0022 2.2452 1.2546
```

Output
energy relative to the elements: -154 meV/atom
space-group type: Cmmm, No. 65
total magnetization: 4.56 μB/f.u.



Nb2Fe2Ni15 | PBE-GGA | optimized geometry

Cell and atoms, written as extended XYZ:
```
19
Lattice="6.2419 0.0331 0.0295 0.8426 6.1849 0.0295 0.8426 0.7395 6.1406" Properties=species:S:1:pos:R:3 pbc="T T T"
Nb 0.8543 0.7498 0.6681
Nb 7.0729 6.2077 5.5314
Fe 2.9787 2.6144 2.3296
Fe 4.9484 4.3431 3.8700
Ni 3.1210 0.0165 0.0147
Ni 0.4213 0.3698 3.0703
Ni 0.4213 3.0924 0.0147
Ni 0.8426 4.4380 1.9900
Ni 4.5098 2.0066 0.0295
Ni 2.5747 0.5129 4.1801
Ni 2.5747 4.2113 0.0295
Ni 4.5098 0.2597 1.9900
Ni 0.8426 2.4864 4.1801
Ni 2.1779 4.5414 4.0467
Ni 4.7856 4.2003 1.0952
Ni 4.7856 1.5703 4.0467
Ni 5.7492 2.4160 2.1528
Ni 3.1415 2.7572 5.1043
Ni 3.1415 5.3871 2.1528
```

Output
energy relative to the elements: 117 meV/atom
space-group type: R-3m, No. 166
total magnetization: 11.57 μB/f.u.



NbFeNi | PBE-GGA | optimized geometry

Cell and atoms, written as extended XYZ:
```
3
Lattice="-1.0511 2.1922 -2.0342 -1.6032 -2.2332 -1.5783 -1.9071 0.6680 4.1753" Properties=species:S:1:pos:R:3 pbc="T T T"
Ni -2.1068 0.1356 -1.2352
Nb -4.2239 0.5594 0.3156
Fe -1.8218 0.3647 1.3345
```

Output
energy relative to the elements: -31 meV/atom
space-group type: I4mm, No. 107
total magnetization: 1.63 μB/f.u.



NbFe2Ni2 | PBE-GGA | optimized geometry

Cell and atoms, written as extended XYZ:
```
10
Lattice="-6.3301 0.4058 -2.8662 1.6432 -5.1701 -4.3612 -0.8901 -1.7341 1.7203" Properties=species:S:1:pos:R:3 pbc="T T T"
Ni -0.4375 -4.2796 -2.5758
Ni -3.3518 -4.8657 -4.6745
Ni -5.1395 -2.2187 -2.9313
Ni -2.2252 -1.6326 -0.8326
Nb 0.0000 0.0000 0.0000
Nb -2.3434 -2.3821 -3.6137
Fe -0.9559 -4.3919 -4.9216
Fe -4.5457 -2.8525 -5.2273
Fe -3.7310 -0.3724 -2.3058
Fe -0.1412 -1.9117 -2.0001
```

Output
energy relative to the elements: 34 meV/atom
space-group type: P4/mbm, No. 127
total magnetization: 4.74 μB/f.u.



Nb2FeNi3 | PBE-GGA | optimized geometry

Cell and atoms, written as extended XYZ:
```
12
Lattice="-3.5792 3.2106 0.3955 -1.0003 -4.7154 -0.1978 0.4790 -0.4299 7.8255" Properties=species:S:1:pos:R:3 pbc="T T T"
Nb -2.5098 0.3804 3.6243
Nb -1.5907 -2.3151 4.3988
Nb -1.4107 -2.4766 7.3393
Nb -2.6898 0.5419 0.6838
Fe 0.2395 -0.2150 3.9128
Fe 0.0000 0.0000 0.0000
Ni -0.8202 -1.1553 1.9563
Ni -1.0152 -0.0351 5.9691
Ni -3.2803 -0.7794 6.0668
Ni -1.3150 -3.4877 1.8585
Ni -2.7855 1.5529 6.1647
Ni -3.0853 -1.8996 2.0541
```

Output
energy relative to the elements: -172 meV/atom
space-group type: P6_3/mmc, No. 194
total magnetization: 1.94 μB/f.u.



NbFeNi | PBE-GGA | optimized geometry

Cell and atoms, written as extended XYZ:
```
6
Lattice="-0.0535 -0.9322 -4.7308 2.3059 -2.9623 3.0265 -3.9894 -0.5007 2.6619" Properties=species:S:1:pos:R:3 pbc="T T T"
Nb -3.2185 -1.0468 1.5335
Nb 1.4814 -3.3484 -0.5759
Fe -0.8685 -2.1976 0.4788
Fe 1.1530 -1.4811 1.5132
Ni -0.8418 -1.7315 2.8442
Ni -2.0215 -0.7164 -1.0344
```

Output
energy relative to the elements: -147 meV/atom
space-group type: Imma, No. 74
total magnetization: 1.24 μB/f.u.



Nb2Fe2Ni | PBE-GGA | optimized geometry

Cell and atoms, written as extended XYZ:
```
10
Lattice="-2.6040 -4.7396 2.9841 1.9704 -3.8557 -4.4046 3.1069 -0.5363 1.8593" Properties=species:S:1:pos:R:3 pbc="T T T"
Ni 0.0000 0.0000 0.0000
Ni -0.3168 -4.2977 -0.7102
Nb 2.4186 -3.8235 -1.5416
Nb 1.3556 -6.6610 -0.5838
Nb 0.0546 -5.3081 1.9804
Nb 1.1176 -2.4706 1.0227
Fe 0.7467 -5.1623 -2.7368
Fe -1.0530 -6.5581 -0.1321
Fe -1.3804 -3.4330 1.3164
Fe 0.4194 -2.0372 -1.2884
```

Output
energy relative to the elements: 25 meV/atom
space-group type: P4/mbm, No. 127
total magnetization: 0.14 μB/f.u.



NbFe2Ni | PBE-GGA | optimized geometry

Cell and atoms, written as extended XYZ:
```
16
Lattice="-5.2859 -16.2900 0.3124 3.4006 -0.9622 -3.1637 -2.3207 -5.5830 4.1008" Properties=species:S:1:pos:R:3 pbc="T T T"
Nb -5.3488 -17.9772 2.2850
Nb 0.1018 -7.6007 -1.2825
Nb 1.1429 -4.8579 -1.0355
Nb -4.3078 -15.2344 2.5320
Fe 0.0000 0.0000 0.0000
Fe -2.1030 -11.4176 0.6248
Fe -0.2280 -9.9035 0.4944
Fe -3.9780 -12.9317 0.7551
Fe -3.0395 -16.9055 0.9226
Fe -1.1665 -5.9297 0.3270
Fe 1.7003 -0.4811 -1.5818
Fe -3.8033 -10.9365 2.2066
Ni -1.7462 -13.8751 0.0345
Ni -2.4598 -8.9600 1.2150
Ni 0.8002 -2.3622 -0.4640
Ni -5.0062 -20.4730 1.7136
```

Output
energy relative to the elements: 45 meV/atom
space-group type: P-1, No. 2
total magnetization: 3.64 μB/f.u.



The highest energy relative to the elements belongs to which entry? Nb2Fe2Ni15



Look up the energy relative to the elements of the fourth one. 32 meV/atom



Look up the total magnetization of the second one. 3.15 μB/f.u.